The following is a DFT calculation (GGA-PBE) of a relaxed structure of Sr2TaBr.

Energy relative to the elements, uncorrected, meV/atom: 19
Density of states at the Fermi level, states/eV/f.u.: 2.18
Calculated volume, A^3/atom: 29.7
Space group: R-3m (166)
Distance to the lowest polymorph of the same formula, kJ per mole of atoms: 5.8

a b c (Å): 10.315 10.315 10.315
angles (deg): 20.57 20.57 20.57
Fractional coordinates of all 4 atoms:
Sr 0.247 0.247 0.247
Sr 0.753 0.753 0.753
Ta 0.000 0.000 0.000
Br 0.500 0.500 0.500